Record 1
K4Cl | PBE-GGA | relaxed Values from VASP.

Geometry as Quantum ESPRESSO input:
```
&SYSTEM
  ibrav = 0, nat = 5, ntyp = 2
/
ATOMIC_SPECIES
K 39.10 K.upf
Cl 35.45 Cl.upf
CELL_PARAMETERS angstrom
6.542 0.000 0.000
0.000 6.542 0.000
0.000 0.000 6.542
ATOMIC_POSITIONS crystal
K 0.000 0.000 0.000
K 0.000 0.500 0.500
K 0.500 0.000 0.500
K 0.500 0.500 0.000
Cl 0.500 0.500 0.500
```

Calculated values
Magnetization (μB/f.u.): 0.0
Uncorrected energy (eV per atom): -1.948
Energy relative to the lowest polymorph listed for this composition (meV/atom): 0


Record 2
KCl2 | PBE-GGA | relaxed Values from VASP.

Geometry as Quantum ESPRESSO input:
```
&SYSTEM
  ibrav = 0, nat = 6, ntyp = 2
/
ATOMIC_SPECIES
K 39.10 K.upf
Cl 35.45 Cl.upf
CELL_PARAMETERS angstrom
5.472 -2.157 0.000
5.472 2.157 0.000
-1.231 0.000 9.102
ATOMIC_POSITIONS crystal
K 0.086 0.086 0.344
K 0.914 0.914 0.656
Cl 0.367 0.367 0.370
Cl 0.460 0.460 0.101
Cl 0.540 0.540 0.899
Cl 0.633 0.633 0.630
```

Calculated values
Magnetization (μB/f.u.): 0.0
Uncorrected energy (eV per atom): -2.858


Record 3
K3Cl | PBE-GGA | relaxed Values from VASP.

Geometry as Quantum ESPRESSO input:
```
&SYSTEM
  ibrav = 0, nat = 4, ntyp = 2
/
ATOMIC_SPECIES
K 39.10 K.upf
Cl 35.45 Cl.upf
CELL_PARAMETERS angstrom
4.501 0.000 0.000
-2.250 3.898 0.000
0.000 0.000 11.848
ATOMIC_POSITIONS crystal
K 0.000 0.000 0.000
K 0.667 0.333 0.336
K 0.667 0.333 0.664
Cl 0.000 0.000 0.500
```

Calculated values
Magnetization (μB/f.u.): 0.0
Uncorrected energy (eV per atom): -2.197
Energy relative to the lowest polymorph listed for this composition (meV/atom): 15


Record 4
KCl2 | PBE-GGA | relaxed Values from VASP.

Geometry as Quantum ESPRESSO input:
```
&SYSTEM
  ibrav = 0, nat = 6, ntyp = 2
/
ATOMIC_SPECIES
K 39.10 K.upf
Cl 35.45 Cl.upf
CELL_PARAMETERS angstrom
8.050 -2.393 0.000
8.050 2.393 0.000
-1.005 0.000 6.061
ATOMIC_POSITIONS crystal
K 0.188 0.188 0.223
K 0.812 0.812 0.777
Cl 0.190 0.190 0.723
Cl 0.450 0.450 0.084
Cl 0.550 0.550 0.916
Cl 0.810 0.810 0.277
```

Calculated values
Magnetization (μB/f.u.): 0.0
Uncorrected energy (eV per atom): -2.809


Record 5
K3Cl | PBE-GGA | relaxed Values from VASP.

Geometry as Quantum ESPRESSO input:
```
&SYSTEM
  ibrav = 0, nat = 4, ntyp = 2
/
ATOMIC_SPECIES
K 39.10 K.upf
Cl 35.45 Cl.upf
CELL_PARAMETERS angstrom
-2.085 6.622 3.916
2.085 -6.622 3.916
2.085 6.622 -3.916
ATOMIC_POSITIONS crystal
K 0.000 0.000 0.000
K 0.304 0.465 0.839
K 0.626 0.465 0.161
Cl 0.310 0.810 0.500
```

Calculated values
Magnetization (μB/f.u.): 0.0
Uncorrected energy (eV per atom): -2.169
Energy relative to the lowest polymorph listed for this composition (meV/atom): 43


Record 6
KCl3 | PBE-GGA | relaxed Values from VASP.

Geometry as Quantum ESPRESSO input:
```
&SYSTEM
  ibrav = 0, nat = 4, ntyp = 2
/
ATOMIC_SPECIES
K 39.10 K.upf
Cl 35.45 Cl.upf
CELL_PARAMETERS angstrom
4.232 0.000 0.000
0.000 8.242 0.000
-0.014 0.000 4.573
ATOMIC_POSITIONS crystal
K 0.000 0.000 0.000
Cl 0.420 0.500 0.208
Cl 0.500 0.000 0.500
Cl 0.580 0.500 0.792
```

Calculated values
Magnetization (μB/f.u.): 0.1
Uncorrected energy (eV per atom): -2.544